(1)
Computed, not measured: an optimized crystal structure of La4Tl2Ru at the PBE level of DFT.

Results
total moment = 0.00 μB/cell
symmetry = P2/m
formation energy from the elements = -20.9 kJ per mole of atoms
energy above the lowest structure with this stoichiometry = 0.94 eV per formula unit
D(E_F) = 5.6 states/eV/cell
E = -5.033 eV per atom
V = 34.13 A^3/atom

a = 7.1255 Å, b = 3.9765 Å, c = 8.7616 Å
α = 90.00°, β = 105.77°, γ = 90.00°
Element x y z (fractional)
La (0.1572, 0.0000, 0.3361)
La (0.2591, 0.5000, 0.9759)
La (0.7409, 0.5000, 0.0241)
La (0.8428, 0.0000, 0.6639)
Tl (0.4129, 0.5000, 0.6519)
Tl (0.5871, 0.5000, 0.3481)
Ru (0.0000, 0.0000, 0.0000)

***

(2)
Computed, not measured: an optimized crystal structure of LaTlRu2 at the PBE level of DFT.

Results
total moment = 0.00 μB/cell
symmetry = Fm-3m
formation energy from the elements = 18.1 kJ per mole of atoms
energy above the lowest structure with this stoichiometry = 0.13 eV per formula unit
D(E_F) = 5.9 states/eV/cell
E = -6.273 eV per atom
V = 19.85 A^3/atom

a = 4.8248 Å, b = 4.8248 Å, c = 4.8248 Å
α = 60.00°, β = 60.00°, γ = 60.00°
Element x y z (fractional)
La (0.0000, 0.0000, 0.0000)
Tl (0.5000, 0.5000, 0.5000)
Ru (0.2500, 0.2500, 0.2500)
Ru (0.7500, 0.7500, 0.7500)

***

(3)
Computed, not measured: an optimized crystal structure of La12Tl6Ru at the PBE level of DFT.

Results
total moment = 0.00 μB/cell
symmetry = R-3
formation energy from the elements = -22.3 kJ per mole of atoms
D(E_F) = 22.6 states/eV/cell
E = -4.579 eV per atom
V = 34.64 A^3/atom

a = 8.7265 Å, b = 8.7265 Å, c = 8.7265 Å
α = 94.47°, β = 94.47°, γ = 94.47°
Element x y z (fractional)
La (0.0206, 0.9218, 0.6844)
La (0.0782, 0.3156, 0.9794)
La (0.1950, 0.4241, 0.5438)
La (0.3156, 0.9794, 0.0782)
La (0.4241, 0.5438, 0.1950)
La (0.4562, 0.8050, 0.5759)
La (0.5438, 0.1950, 0.4241)
La (0.5759, 0.4562, 0.8050)
La (0.6844, 0.0206, 0.9218)
La (0.8050, 0.5759, 0.4562)
La (0.9218, 0.6844, 0.0206)
La (0.9794, 0.0782, 0.3156)
Tl (0.1428, 0.7295, 0.3435)
Tl (0.2705, 0.6565, 0.8572)
Tl (0.3435, 0.1428, 0.7295)
Tl (0.6565, 0.8572, 0.2705)
Tl (0.7295, 0.3435, 0.1428)
Tl (0.8572, 0.2705, 0.6565)
Ru (0.0000, 0.0000, 0.0000)

***

(4)
Computed, not measured: an optimized crystal structure of La2TlRu at the PBE level of DFT.

Results
total moment = 0.00 μB/cell
symmetry = P4/mmm
formation energy from the elements = -12.4 kJ per mole of atoms
energy above the lowest structure with this stoichiometry = 0.72 eV per formula unit
D(E_F) = 3.2 states/eV/cell
E = -5.503 eV per atom
V = 26.56 A^3/atom

a = 5.1004 Å, b = 5.1004 Å, c = 4.0840 Å
α = 90.00°, β = 90.00°, γ = 90.00°
Element x y z (fractional)
La (0.0000, 0.5000, 0.0000)
La (0.5000, 0.0000, 0.0000)
Tl (0.0000, 0.0000, 0.5000)
Ru (0.5000, 0.5000, 0.5000)